No. 1
This record from Alexandria via LeMat-Bulk describes an optimized crystal structure of K2MnH. The functional is GGA-PBE.

Output
* volume: 34.0 Å³ per atom
* crystal system: tetragonal
* total DFT energy (no corrections): -3.024 eV/atom
* theoretical density: 1636 kg/m³
* offset from the most stable computed form: 0.00 eV/f.u.

The structure in CIF format:
```
data_K2MnH
_chemical_formula_sum 'K8 Mn4 H4'
_symmetry_space_group_name_H-M 'I -4 2 d'
_symmetry_Int_Tables_number 122
_symmetry_space_group_name_Hall 'I -4 2bw'
_cell_length_a 8.175
_cell_length_b 8.175
_cell_length_c 8.148
_cell_angle_alpha 90.00
_cell_angle_beta 90.00
_cell_angle_gamma 90.00
loop_
_atom_site_label
_atom_site_type_symbol
_atom_site_fract_x
_atom_site_fract_y
_atom_site_fract_z
K1 K 0.154 0.750 0.125
Mn1 Mn 0.000 0.000 0.500
H1 H 0.000 0.000 0.000
```

No. 2
This record from Alexandria via LeMat-Bulk describes an optimized crystal structure of SbRhAu2. The functional is GGA-PBE.

Output
* volume: 18.5 Å³ per atom
* crystal system: orthorhombic
* total DFT energy (no corrections): -4.504 eV/atom
* raw formation energy: 0 kJ/mol of atoms
* theoretical density: 13878 kg/m³

The structure in CIF format:
```
data_SbRhAu2
_chemical_formula_sum 'Sb2 Rh2 Au4'
_symmetry_space_group_name_H-M 'I m m 2'
_symmetry_Int_Tables_number 44
_symmetry_space_group_name_Hall 'I 2 -2'
_cell_length_a 3.898
_cell_length_b 4.307
_cell_length_c 8.819
_cell_angle_alpha 90.00
_cell_angle_beta 90.00
_cell_angle_gamma 90.00
loop_
_atom_site_label
_atom_site_type_symbol
_atom_site_fract_x
_atom_site_fract_y
_atom_site_fract_z
Sb1 Sb 0.000 0.000 0.000
Rh1 Rh 0.000 0.500 0.705
Au1 Au 0.000 0.000 0.465
Au2 Au 0.000 0.500 0.240
```

No. 3
This record from Alexandria via LeMat-Bulk describes an optimized crystal structure of HfTiPt3. The functional is GGA-PBE.

Output
* volume: 18.0 Å³ per atom
* ΔE_f: -0.280 eV per atom
* crystal system: monoclinic
* total DFT energy (no corrections): -7.474 eV/atom
* theoretical density: 14995 kg/m³
* offset from the most stable computed form: 1.82 eV/f.u.

The structure in CIF format:
```
data_HfTiPt3
_chemical_formula_sum 'Hf2 Ti2 Pt6'
_symmetry_space_group_name_H-M 'P 1 2/m 1'
_symmetry_Int_Tables_number 10
_symmetry_space_group_name_Hall '-P 2y'
_cell_length_a 5.477
_cell_length_b 2.887
_cell_length_c 11.496
_cell_angle_alpha 90.00
_cell_angle_beta 98.51
_cell_angle_gamma 90.00
loop_
_atom_site_label
_atom_site_type_symbol
_atom_site_fract_x
_atom_site_fract_y
_atom_site_fract_z
Hf1 Hf 0.115 0.000 0.381
Ti1 Ti 0.375 0.500 0.594
Pt1 Pt 0.000 0.500 0.000
Pt2 Pt 0.188 0.500 0.788
Pt3 Pt 0.319 0.500 0.210
Pt4 Pt 0.500 0.500 0.000
```

No. 4
This record from Alexandria via LeMat-Bulk describes an optimized crystal structure of UGaRh. The functional is GGA-PBE.

Output
* volume: 17.8 Å³ per atom
* ΔE_f: -0.383 eV per atom
* crystal system: tetragonal
* total DFT energy (no corrections): -7.605 eV/atom
* theoretical density: 12780 kg/m³

The structure in CIF format:
```
data_UGaRh
_chemical_formula_sum 'U2 Ga2 Rh2'
_symmetry_space_group_name_H-M 'I 4 m m'
_symmetry_Int_Tables_number 107
_symmetry_space_group_name_Hall 'I 4 -2'
_cell_length_a 3.121
_cell_length_b 3.121
_cell_length_c 10.955
_cell_angle_alpha 90.00
_cell_angle_beta 90.00
_cell_angle_gamma 90.00
loop_
_atom_site_label
_atom_site_type_symbol
_atom_site_fract_x
_atom_site_fract_y
_atom_site_fract_z
U1 U 0.000 0.000 0.000
Ga1 Ga 0.000 0.000 0.303
Rh1 Rh 0.000 0.000 0.666
```